This record from the Alexandria database describes a geometry-optimized Np3Tl3VSe8 structure. The functional is PBE.

E_form (uncorrected)   -82.8 kJ/mol of atoms
Space group   No. 166

a = 8.069 Å, b = 8.068 Å, c = 9.210 Å
α = 115.98°, β = 90.00°, γ = 120.00°
Fractional positions:
Se  0.264  0.528  0.292
Np  0.500  0.500  0.500
Se  0.736  0.472  0.708
Se  0.221  0.972  0.693
Se  0.779  0.028  0.307
Np  0.000  0.500  0.500
V  0.000  0.000  0.500
Se  0.779  0.558  0.307
Np  0.500  0.000  0.500
Se  0.221  0.442  0.693
Tl  0.000  0.500  0.000
Se  0.752  0.972  0.693
Tl  0.000  0.000  0.000
Tl  0.500  0.500  0.000
Se  0.248  0.028  0.307

***

This record from the Alexandria database describes a geometry-optimized FeSnS structure. The functional is PBE.

E_form (uncorrected)   -12.9 kJ/mol of atoms
Space group   No. 8

a = 6.127 Å, b = 3.191 Å, c = 11.954 Å
α = 90.00°, β = 110.98°, γ = 90.00°
Fractional positions:
S  0.775  0.500  0.270
Fe  0.604  0.500  0.408
S  0.858  0.000  0.518
Fe  0.797  0.000  0.146
Fe  0.604  0.000  0.908
Sn  0.378  0.000  0.538
S  0.775  0.000  0.770
Fe  0.797  0.500  0.646
Sn  0.262  0.000  0.256
S  0.858  0.500  0.018
Sn  0.378  0.500  0.038
Sn  0.262  0.500  0.756

***

This record from the Alexandria database describes a geometry-optimized LaCl5 structure. The functional is PBE.

E_form (uncorrected)   -142.5 kJ/mol of atoms
Space group   No. 8

a = 7.028 Å, b = 7.028 Å, c = 10.036 Å
α = 57.40°, β = 57.40°, γ = 35.30°
Fractional positions:
Cl  0.045  0.045  0.045
La  0.717  0.717  0.919
Cl  0.108  0.108  0.279
Cl  0.754  0.754  0.640
Cl  0.170  0.170  0.422
Cl  0.372  0.372  0.862